Density functional theory data (GGA-PBE) for CaAl3Pt after structural relaxation.

Summary:
Fermi-level density of states, states/eV per cell: 5.427
VASP energy, eV per cell: -11.33
Formation enthalpy at 0 K, meV/atom: 1589
Space-group type: Pm-3m, No. 221
V, Å³ per atom: 29.66

Cell lengths 5.293, 5.293, 5.293 Å; angles 90.00, 90.00, 90.00 degrees
Positions (direct):
Ca  0.000  0.000  0.000
Al  0.000  0.000  0.500
Al  0.000  0.500  0.000
Al  0.500  0.000  0.000
Pt  0.500  0.500  0.500



Density functional theory data (GGA-PBE) for Tb2Er3Tm6Mg after structural relaxation.

Summary:
Fermi-level density of states, states/eV per cell: 17.853
VASP energy, eV per cell: -50.99
Formation enthalpy at 0 K, meV/atom: 32
Space-group type: C2/m, No. 12
V, Å³ per atom: 29.92

Cell lengths 6.034, 6.034, 11.565 Å; angles 95.01, 95.01, 120.01 degrees
Positions (direct):
Tb  0.166  0.834  0.000
Tb  0.834  0.166  0.000
Er  0.000  0.000  0.500
Er  0.334  0.666  0.500
Er  0.666  0.334  0.500
Tm  0.084  0.417  0.750
Tm  0.250  0.250  0.251
Tm  0.417  0.084  0.750
Tm  0.583  0.916  0.250
Tm  0.750  0.750  0.749
Tm  0.916  0.583  0.250
Mg  0.500  0.500  0.000



Number 1 is which compound?
CaAl3Pt



Number 1 is which compound?
CaAl3Pt